# 1
VASP calculation (GGA+U) on an optimized crystal structure of Tl2VTcO6.

Calculated values
total moment = 0.20 μB per formula unit
E_tot = -387.84 eV for the cell shown

Cell lengths 5.8426, 5.8426, 27.8367 Å; angles 90.00, 90.00, 120.00 degrees
Space group R-3m (No. 166, hexagonal axes)
One atom of each set of equivalent atoms:
Tl1 0.0000 0.0000 0.1307 [6 per cell]
Tl2 0.0000 0.0000 0.2786 [6 per cell]
V1 0.0000 0.0000 0.4012 [6 per cell]
Tc1 0.0000 0.0000 0.0000 [3 per cell]
Tc2 0.0000 0.0000 0.5000 [3 per cell]
O1 0.0049 0.5024 0.2948 [18 per cell]
O2 0.0441 0.5221 0.1222 [18 per cell]

=====

# 2
VASP calculation (GGA+U) on an optimized crystal structure of Tl2TcWO6.

Calculated values
total moment = 0.62 μB per formula unit
E_tot = -129.31 eV for the cell shown

Cell lengths 7.702, 7.702, 6.993 Å; angles 90.00, 123.18, 90.00 degrees
Space group C2/m (No. 12)
One atom of each set of equivalent atoms:
Tl1 0.000 0.250 0.000 [4 per cell]
Tc1 0.000 0.000 0.500 [2 per cell]
W1 0.000 0.500 0.500 [2 per cell]
O1 0.000 0.243 0.500 [4 per cell]
O2 0.161 0.500 0.824 [4 per cell]
O3 0.243 0.000 0.500 [4 per cell]

=====

# 3
VASP calculation (GGA+U) on an optimized crystal structure of TlTcWO6.

Calculated values
total moment = 2.00 μB per formula unit
E_tot = -126.16 eV for the cell shown

Cell lengths 5.328, 9.249, 6.147 Å; angles 90.00, 90.08, 90.00 degrees
Space group C2 (No. 5)
One atom of each set of equivalent atoms:
Tl1 0.000 0.000 0.000 [2 per cell]
Tc1 0.000 0.666 0.500 [2 per cell]
W1 0.000 0.334 0.500 [2 per cell]
O1 0.103 0.499 0.321 [4 per cell]
O2 0.196 0.200 0.321 [4 per cell]
O3 0.201 0.802 0.321 [4 per cell]